# 1
# La4TbPm2Dy, optimized geometry, DFT PBE-GGA
# Electronic total energy   -38.3 eV/cell
# Calculated volume   280 Å³/cell
# ΔH_f (0 K)   0.016 eV/atom
data_La4TbPm2Dy
_chemical_formula_sum 'La4 Tb1 Pm2 Dy1'
_cell_length_a 5.224
_cell_length_b 5.263
_cell_length_c 10.178
_cell_angle_alpha 90.00
_cell_angle_beta 90.07
_cell_angle_gamma 90.00
_space_group_name_H-M_alt 'P 1 2/m 1'
_space_group_IT_number 10
_space_group_name_Hall '-P 2y'
loop_
_atom_site_label
_atom_site_fract_x
_atom_site_fract_y
_atom_site_fract_z
La1 0.000 0.000 0.250
La2 0.499 0.500 0.249
Tb1 0.500 0.000 0.500
Pm1 0.000 0.500 0.500
Pm2 0.500 0.000 0.000
Dy1 0.000 0.500 0.000

***

# 2
# La3Tb2PmDy6, optimized geometry, DFT PBE-GGA
# Electronic total energy   -112.4 eV/cell
# Calculated volume   793 Å³/cell
# ΔH_f (0 K)   0.018 eV/atom
data_La3Tb2PmDy6
_chemical_formula_sum 'La6 Tb4 Pm2 Dy12'
_cell_length_a 6.256
_cell_length_b 10.839
_cell_length_c 11.884
_cell_angle_alpha 90.00
_cell_angle_beta 100.10
_cell_angle_gamma 90.00
_space_group_name_H-M_alt 'C 1 2/m 1'
_space_group_IT_number 12
_space_group_name_Hall '-C 2y'
loop_
_atom_site_label
_atom_site_fract_x
_atom_site_fract_y
_atom_site_fract_z
La1 0.000 0.000 0.000
La2 0.000 0.333 0.000
Tb1 0.000 0.167 0.500
Pm1 0.000 0.500 0.500
Dy1 0.248 0.000 0.746
Dy2 0.249 0.333 0.746

***

# 3
# La4TbPmDy2, optimized geometry, DFT PBE-GGA
# Electronic total energy   -38.2 eV/cell
# Calculated volume   277 Å³/cell
# ΔH_f (0 K)   0.018 eV/atom
data_La4TbPmDy2
_chemical_formula_sum 'La4 Tb1 Pm1 Dy2'
_cell_length_a 5.220
_cell_length_b 5.258
_cell_length_c 10.087
_cell_angle_alpha 90.00
_cell_angle_beta 90.00
_cell_angle_gamma 90.00
_space_group_name_H-M_alt 'P m m m'
_space_group_IT_number 47
_space_group_name_Hall '-P 2 2'
loop_
_atom_site_label
_atom_site_fract_x
_atom_site_fract_y
_atom_site_fract_z
La1 0.000 0.000 0.248
La2 0.500 0.500 0.249
Tb1 0.000 0.500 0.000
Pm1 0.500 0.000 0.500
Dy1 0.000 0.500 0.500
Dy2 0.500 0.000 0.000

***

# 4
# La2Tb4Pm2Dy, optimized geometry, DFT PBE-GGA
# Electronic total energy   -84.9 eV/cell
# Calculated volume   605 Å³/cell
# ΔH_f (0 K)   0.005 eV/atom
data_La2Tb4Pm2Dy
_chemical_formula_sum 'La4 Tb8 Pm4 Dy2'
_cell_length_a 18.947
_cell_length_b 3.656
_cell_length_c 9.699
_cell_angle_alpha 90.00
_cell_angle_beta 115.70
_cell_angle_gamma 90.00
_space_group_name_H-M_alt 'C 1 2/m 1'
_space_group_IT_number 12
_space_group_name_Hall '-C 2y'
loop_
_atom_site_label
_atom_site_fract_x
_atom_site_fract_y
_atom_site_fract_z
La1 0.165 0.000 0.000
Tb1 0.020 0.000 0.333
Tb2 0.185 0.500 0.337
Pm1 0.147 0.500 0.663
Dy1 0.000 0.500 0.000

***

# 5
# La2TbPm5Dy, optimized geometry, DFT PBE-GGA
# Electronic total energy   -166.8 eV/cell
# Calculated volume   1263 Å³/cell
# ΔH_f (0 K)   0.127 eV/atom
data_La2TbPm5Dy
_chemical_formula_sum 'La8 Tb4 Pm20 Dy4'
_cell_length_a 5.735
_cell_length_b 20.338
_cell_length_c 10.830
_cell_angle_alpha 90.00
_cell_angle_beta 90.00
_cell_angle_gamma 90.00
_space_group_name_H-M_alt 'C m c 21'
_space_group_IT_number 36
_space_group_name_Hall 'C 2c -2'
loop_
_atom_site_label
_atom_site_fract_x
_atom_site_fract_y
_atom_site_fract_z
La1 0.000 0.114 0.000
La2 0.000 0.117 0.585
Tb1 0.000 0.201 0.276
Pm1 0.000 0.016 0.288
Pm2 0.000 0.279 0.577
Pm3 0.000 0.297 0.970
Pm4 0.000 0.388 0.289
Pm5 0.000 0.481 0.008
Dy1 0.000 0.409 0.728

***

# 6
# LaTbPmDy, optimized geometry, DFT PBE-GGA
# Electronic total energy   -73.9 eV/cell
# Calculated volume   544 Å³/cell
# ΔH_f (0 K)   0.112 eV/atom
data_LaTbPmDy
_chemical_formula_sum 'La4 Tb4 Pm4 Dy4'
_cell_length_a 8.162
_cell_length_b 8.162
_cell_length_c 8.162
_cell_angle_alpha 90.00
_cell_angle_beta 90.00
_cell_angle_gamma 90.00
_space_group_name_H-M_alt 'F -4 3 m'
_space_group_IT_number 216
_space_group_name_Hall 'F -4 2 3'
loop_
_atom_site_label
_atom_site_fract_x
_atom_site_fract_y
_atom_site_fract_z
La1 0.000 0.000 0.000
Tb1 0.250 0.250 0.250
Pm1 0.000 0.000 0.500
Dy1 0.250 0.250 0.750

***

# 7
# La5Tb2PmDy, optimized geometry, DFT PBE-GGA
# Electronic total energy   -162.8 eV/cell
# Calculated volume   1293 Å³/cell
# ΔH_f (0 K)   0.282 eV/atom
data_La5Tb2PmDy
_chemical_formula_sum 'La20 Tb8 Pm4 Dy4'
_cell_length_a 9.499
_cell_length_b 9.499
_cell_length_c 14.329
_cell_angle_alpha 90.00
_cell_angle_beta 90.00
_cell_angle_gamma 90.00
_space_group_name_H-M_alt 'I 4/m c m'
_space_group_IT_number 140
_space_group_name_Hall '-I 4 2c'
loop_
_atom_site_label
_atom_site_fract_x
_atom_site_fract_y
_atom_site_fract_z
La1 0.000 0.000 0.000
La2 0.202 0.298 0.135
Tb1 0.109 0.391 0.500
Pm1 0.000 0.000 0.250
Dy1 0.000 0.500 0.250

***

# 8
# La2Tb2PmDy2, optimized geometry, DFT PBE-GGA
# Electronic total energy   -65.8 eV/cell
# Calculated volume   472 Å³/cell
# ΔH_f (0 K)   0.027 eV/atom
data_La2Tb2PmDy2
_chemical_formula_sum 'La4 Tb4 Pm2 Dy4'
_cell_length_a 11.464
_cell_length_b 5.123
_cell_length_c 8.115
_cell_angle_alpha 90.00
_cell_angle_beta 98.11
_cell_angle_gamma 90.00
_space_group_name_H-M_alt 'C 1 2/m 1'
_space_group_IT_number 12
_space_group_name_Hall '-C 2y'
loop_
_atom_site_label
_atom_site_fract_x
_atom_site_fract_y
_atom_site_fract_z
La1 0.142 0.000 0.427
Tb1 0.071 0.500 0.719
Pm1 0.000 0.000 0.000
Dy1 0.216 0.500 0.139

***

# 9
# La2Tb3PmDy6, optimized geometry, DFT PBE-GGA
# Electronic total energy   -111.8 eV/cell
# Calculated volume   784 Å³/cell
# ΔH_f (0 K)   0.019 eV/atom
data_La2Tb3PmDy6
_chemical_formula_sum 'La4 Tb6 Pm2 Dy12'
_cell_length_a 6.227
_cell_length_b 10.786
_cell_length_c 11.862
_cell_angle_alpha 90.00
_cell_angle_beta 100.06
_cell_angle_gamma 90.00
_space_group_name_H-M_alt 'C 1 2/m 1'
_space_group_IT_number 12
_space_group_name_Hall '-C 2y'
loop_
_atom_site_label
_atom_site_fract_x
_atom_site_fract_y
_atom_site_fract_z
La1 0.000 0.166 0.000
Tb1 0.000 0.000 0.500
Tb2 0.000 0.333 0.500
Pm1 0.000 0.500 0.000
Dy1 0.247 0.500 0.746
Dy2 0.248 0.166 0.746

***

# 10
# La2TbPmDy4, optimized geometry, DFT PBE-GGA
# Electronic total energy   -37.4 eV/cell
# Calculated volume   267 Å³/cell
# ΔH_f (0 K)   0.027 eV/atom
data_La2TbPmDy4
_chemical_formula_sum 'La2 Tb1 Pm1 Dy4'
_cell_length_a 5.126
_cell_length_b 5.166
_cell_length_c 10.068
_cell_angle_alpha 90.00
_cell_angle_beta 90.05
_cell_angle_gamma 90.00
_space_group_name_H-M_alt 'P 1 2/m 1'
_space_group_IT_number 10
_space_group_name_Hall '-P 2y'
loop_
_atom_site_label
_atom_site_fract_x
_atom_site_fract_y
_atom_site_fract_z
La1 0.000 0.000 0.000
La2 0.500 0.500 0.500
Tb1 0.000 0.000 0.500
Pm1 0.500 0.500 0.000
Dy1 0.000 0.500 0.251
Dy2 0.500 0.000 0.251

***

# 11
# LaTbPm2Dy4, optimized geometry, DFT PBE-GGA
# Electronic total energy   -74.7 eV/cell
# Calculated volume   527 Å³/cell
# ΔH_f (0 K)   0.017 eV/atom
data_LaTbPm2Dy4
_chemical_formula_sum 'La2 Tb2 Pm4 Dy8'
_cell_length_a 7.219
_cell_length_b 10.107
_cell_length_c 7.220
_cell_angle_alpha 90.00
_cell_angle_beta 90.09
_cell_angle_gamma 90.00
_space_group_name_H-M_alt 'P 1 m 1'
_space_group_IT_number 6
_space_group_name_Hall 'P -2y'
loop_
_atom_site_label
_atom_site_fract_x
_atom_site_fract_y
_atom_site_fract_z
La1 0.000 0.000 0.000
La2 0.500 0.000 0.000
Tb1 0.001 0.000 0.500
Tb2 0.001 0.500 0.000
Pm1 0.000 0.500 0.500
Pm2 0.500 0.500 0.500
Pm3 0.501 0.000 0.500
Pm4 0.501 0.500 0.000
Dy1 0.249 0.252 0.251
Dy2 0.249 0.252 0.748
Dy3 0.752 0.252 0.252
Dy4 0.752 0.252 0.748

***

# 12
# La2TbPm6Dy3, optimized geometry, DFT PBE-GGA
# Electronic total energy   -113.1 eV/cell
# Calculated volume   815 Å³/cell
# ΔH_f (0 K)   0.019 eV/atom
data_La2TbPm6Dy3
_chemical_formula_sum 'La4 Tb2 Pm12 Dy6'
_cell_length_a 6.300
_cell_length_b 10.916
_cell_length_c 12.042
_cell_angle_alpha 90.00
_cell_angle_beta 100.09
_cell_angle_gamma 90.00
_space_group_name_H-M_alt 'C 1 2/m 1'
_space_group_IT_number 12
_space_group_name_Hall '-C 2y'
loop_
_atom_site_label
_atom_site_fract_x
_atom_site_fract_y
_atom_site_fract_z
La1 0.000 0.167 0.000
Tb1 0.000 0.500 0.000
Pm1 0.247 0.500 0.745
Pm2 0.249 0.166 0.745
Dy1 0.000 0.000 0.500
Dy2 0.000 0.334 0.500

***

# 13
# La2Tb3Pm6Dy, optimized geometry, DFT PBE-GGA
# Electronic total energy   -113.3 eV/cell
# Calculated volume   817 Å³/cell
# ΔH_f (0 K)   0.018 eV/atom
data_La2Tb3Pm6Dy
_chemical_formula_sum 'La4 Tb6 Pm12 Dy2'
_cell_length_a 6.303
_cell_length_b 10.919
_cell_length_c 12.059
_cell_angle_alpha 90.00
_cell_angle_beta 100.09
_cell_angle_gamma 90.00
_space_group_name_H-M_alt 'C 1 2/m 1'
_space_group_IT_number 12
_space_group_name_Hall '-C 2y'
loop_
_atom_site_label
_atom_site_fract_x
_atom_site_fract_y
_atom_site_fract_z
La1 0.000 0.167 0.000
Tb1 0.000 0.000 0.500
Tb2 0.000 0.334 0.500
Pm1 0.247 0.500 0.746
Pm2 0.249 0.166 0.746
Dy1 0.000 0.500 0.000

***

# 14
# La2Tb6PmDy3, optimized geometry, DFT PBE-GGA
# Electronic total energy   -111.9 eV/cell
# Calculated volume   789 Å³/cell
# ΔH_f (0 K)   0.020 eV/atom
data_La2Tb6PmDy3
_chemical_formula_sum 'La4 Tb12 Pm2 Dy6'
_cell_length_a 6.233
_cell_length_b 10.797
_cell_length_c 11.905
_cell_angle_alpha 90.00
_cell_angle_beta 100.05
_cell_angle_gamma 90.00
_space_group_name_H-M_alt 'C 1 2/m 1'
_space_group_IT_number 12
_space_group_name_Hall '-C 2y'
loop_
_atom_site_label
_atom_site_fract_x
_atom_site_fract_y
_atom_site_fract_z
La1 0.000 0.166 0.000
Tb1 0.247 0.500 0.745
Tb2 0.248 0.166 0.745
Pm1 0.000 0.500 0.000
Dy1 0.000 0.000 0.500
Dy2 0.000 0.334 0.500

***

# 15
# La2Pm3DyTe6, optimized geometry, DFT PBE-GGA
# Electronic total energy   -129.9 eV/cell
# Calculated volume   767 Å³/cell
# Uncorrected formation energy   -1448 meV per atom
data_La2Pm3DyTe6
_chemical_formula_sum 'La4 Pm6 Dy2 Te12'
_cell_length_a 19.522
_cell_length_b 4.470
_cell_length_c 9.016
_cell_angle_alpha 90.00
_cell_angle_beta 103.00
_cell_angle_gamma 90.00
_space_group_name_H-M_alt 'C 1 2/m 1'
_space_group_IT_number 12
_space_group_name_Hall '-C 2y'
loop_
_atom_site_label
_atom_site_fract_x
_atom_site_fract_y
_atom_site_fract_z
La1 0.167 0.000 0.334
Pm1 0.000 0.500 0.500
Pm2 0.171 0.000 0.835
Dy1 0.000 0.500 0.000
Te1 0.003 0.000 0.759
Te2 0.162 0.500 0.077
Te3 0.165 0.500 0.588

***

# 16
# La3Pm2DyTe6, optimized geometry, DFT PBE-GGA
# Electronic total energy   -131.1 eV/cell
# Calculated volume   776 Å³/cell
# Uncorrected formation energy   -1484 meV per atom
data_La3Pm2DyTe6
_chemical_formula_sum 'La6 Pm4 Dy2 Te12'
_cell_length_a 19.614
_cell_length_b 4.490
_cell_length_c 9.045
_cell_angle_alpha 90.00
_cell_angle_beta 103.20
_cell_angle_gamma 90.00
_space_group_name_H-M_alt 'C 1 2/m 1'
_space_group_IT_number 12
_space_group_name_Hall '-C 2y'
loop_
_atom_site_label
_atom_site_fract_x
_atom_site_fract_y
_atom_site_fract_z
La1 0.000 0.000 0.000
La2 0.169 0.500 0.334
Pm1 0.168 0.500 0.835
Dy1 0.000 0.000 0.500
Te1 0.001 0.500 0.739
Te2 0.161 0.000 0.585
Te3 0.168 0.000 0.079

***

# 17
# LaPm3Dy2Te6, optimized geometry, DFT PBE-GGA
# Electronic total energy   -128.0 eV/cell
# Calculated volume   748 Å³/cell
# Uncorrected formation energy   -1395 meV per atom
data_LaPm3Dy2Te6
_chemical_formula_sum 'La2 Pm6 Dy4 Te12'
_cell_length_a 19.390
_cell_length_b 4.426
_cell_length_c 8.951
_cell_angle_alpha 90.00
_cell_angle_beta 103.31
_cell_angle_gamma 90.00
_space_group_name_H-M_alt 'C 1 2/m 1'
_space_group_IT_number 12
_space_group_name_Hall '-C 2y'
loop_
_atom_site_label
_atom_site_fract_x
_atom_site_fract_y
_atom_site_fract_z
La1 0.000 0.000 0.000
Pm1 0.000 0.000 0.500
Pm2 0.162 0.500 0.831
Dy1 0.166 0.500 0.331
Te1 0.004 0.500 0.257
Te2 0.169 0.000 0.577
Te3 0.171 0.000 0.091

***

# 18
# LaPm3Dy3Te8, optimized geometry, DFT PBE-GGA
# Electronic total energy   -238.5 eV/cell
# Calculated volume   1451 Å³/cell
# Uncorrected formation energy   -1426 meV per atom
data_LaPm3Dy3Te8
_chemical_formula_sum 'La3 Pm9 Dy9 Te24'
_cell_length_a 8.8095
_cell_length_b 8.8095
_cell_length_c 21.5884
_cell_angle_alpha 90.00
_cell_angle_beta 90.00
_cell_angle_gamma 120.00
_space_group_name_H-M_alt 'R -3 m'
_space_group_IT_number 166
_space_group_name_Hall '-R 3 2"'
loop_
_atom_site_label
_atom_site_fract_x
_atom_site_fract_y
_atom_site_fract_z
La1 0.0000 0.0000 0.0000
Pm1 0.0000 0.5000 0.5000
Dy1 0.0000 0.5000 0.0000
Te1 0.0000 0.0000 0.2530
Te2 0.0196 0.5098 0.2481

***

# 19
# LaPm2Dy3Te6, optimized geometry, DFT PBE-GGA
# Electronic total energy   -127.2 eV/cell
# Calculated volume   738 Å³/cell
# Uncorrected formation energy   -1378 meV per atom
data_LaPm2Dy3Te6
_chemical_formula_sum 'La2 Pm4 Dy6 Te12'
_cell_length_a 19.379
_cell_length_b 4.399
_cell_length_c 8.930
_cell_angle_alpha 90.00
_cell_angle_beta 104.34
_cell_angle_gamma 90.00
_space_group_name_H-M_alt 'C 1 2/m 1'
_space_group_IT_number 12
_space_group_name_Hall '-C 2y'
loop_
_atom_site_label
_atom_site_fract_x
_atom_site_fract_y
_atom_site_fract_z
La1 0.000 0.000 0.000
Pm1 0.168 0.500 0.335
Dy1 0.000 0.000 0.500
Dy2 0.165 0.500 0.832
Te1 0.001 0.500 0.739
Te2 0.164 0.000 0.589
Te3 0.171 0.000 0.079

***

# 20
# La2PmDyTh, optimized geometry, DFT PBE-GGA
# Electronic total energy   -52.7 eV/cell
# Calculated volume   348 Å³/cell
# ΔH_f (0 K)   0.056 eV/atom
data_La2PmDyTh
_chemical_formula_sum 'La4 Pm2 Dy2 Th2'
_cell_length_a 6.356
_cell_length_b 5.904
_cell_length_c 9.795
_cell_angle_alpha 90.00
_cell_angle_beta 108.90
_cell_angle_gamma 90.00
_space_group_name_H-M_alt 'P 1 21/m 1'
_space_group_IT_number 11
_space_group_name_Hall '-P 2yb'
loop_
_atom_site_label
_atom_site_fract_x
_atom_site_fract_y
_atom_site_fract_z
La1 0.067 0.250 0.316
La2 0.138 0.750 0.111
Pm1 0.478 0.250 0.102
Dy1 0.265 0.250 0.693
Th1 0.356 0.750 0.507